ZnIn | the Alexandria database | GGA-PBE | optimized geometry; formation enthalpy at 0 K = 0.172 eV/atom; raw total energy = -1.83 eV/atom; SG = Fm-3m (225)
1.0
0.0000 2.8535 2.8535
2.8535 0.0000 2.8535
2.8535 2.8535 0.0000
Zn In
1 1
Cartesian
0.0000 0.0000 0.0000
2.8535 2.8535 2.8535